(1)
! LaSc2ZnPt, relaxed, DFT PBE; values from VASP
&SYSTEM
  ibrav = 0, nat = 5, ntyp = 4
/
ATOMIC_SPECIES
Sc 44.96 Sc.upf
La 138.91 La.upf
Zn 65.41 Zn.upf
Pt 195.08 Pt.upf
ATOMIC_POSITIONS angstrom
Sc 0.0000 0.0000 2.5565
Sc 2.5565 0.0000 0.0000
La 2.5565 2.4752 2.5565
Zn 0.0000 2.4752 0.0000
Pt 0.0000 0.0000 0.0000
CELL_PARAMETERS angstrom
5.1130 0.0000 0.0000
0.0000 4.9505 0.0000
0.0000 0.0000 5.1130
! - energy above the most stable polymorph in this dataset (meV/atom) = 0
! - ΔE_f (eV per atom) = -0.32
! - D(E_F) (states/eV/f.u.) = 4.90
! - SG = P4/mmm (123)


(2)
! Si2OF, relaxed, DFT PBE; values from VASP
&SYSTEM
  ibrav = 0, nat = 4, ntyp = 3
/
ATOMIC_SPECIES
Si 28.09 Si.upf
F 19.00 F.upf
O 16.00 O.upf
ATOMIC_POSITIONS angstrom
Si 1.4564 1.4564 1.4564
Si 4.3692 4.3692 4.3692
F 2.9128 2.9128 2.9128
O 0.0000 0.0000 0.0000
CELL_PARAMETERS angstrom
0.0000 2.9128 2.9128
2.9128 0.0000 2.9128
2.9128 2.9128 0.0000
! - energy above the most stable polymorph in this dataset (meV/atom) = 548
! - D(E_F) (states/eV/f.u.) = 1.40
! - SG = Fm-3m (225)


(3)
! LiSi2, relaxed, DFT PBE; values from VASP
&SYSTEM
  ibrav = 0, nat = 6, ntyp = 2
/
ATOMIC_SPECIES
Li 6.94 Li.upf
Si 28.09 Si.upf
ATOMIC_POSITIONS angstrom
Li -0.1051 -4.8349 -4.9343
Li -3.9986 -7.7475 -4.2600
Si -2.4489 -3.6032 -1.4203
Si -0.4275 -6.9520 -6.8319
Si -1.6547 -8.9791 -7.7741
Si -3.6761 -5.6303 -2.3625
CELL_PARAMETERS angstrom
-0.3112 -2.6857 -4.8463
1.1825 -4.3194 -3.2774
-4.9749 -5.5772 -1.0706
! - energy above the most stable polymorph in this dataset (meV/atom) = 87
! - D(E_F) (states/eV/f.u.) = 0.22
! - SG = C2/m (12)


(4)
! NaZnN, relaxed, DFT PBE; values from VASP
&SYSTEM
  ibrav = 0, nat = 6, ntyp = 3
/
ATOMIC_SPECIES
Zn 65.41 Zn.upf
Na 22.99 Na.upf
N 14.01 N.upf
ATOMIC_POSITIONS angstrom
Zn 0.0000 0.0000 4.6174
Zn 0.0000 0.0000 0.2690
Na 1.7251 0.9960 6.6197
Na 0.0000 1.9920 2.2713
N 0.0000 1.9920 4.8055
N 1.7251 0.9960 0.4570
CELL_PARAMETERS angstrom
3.4503 0.0000 0.0000
-1.7251 2.9880 0.0000
0.0000 0.0000 8.6969
! - VASP energy (eV per atom) = -3.628
! - D(E_F) (states/eV/f.u.) = 0.28
! - SG = P6_3mc (186)


(5)
! ScNi4Rh, relaxed, DFT PBE; values from VASP
&SYSTEM
  ibrav = 0, nat = 6, ntyp = 3
/
ATOMIC_SPECIES
Ni 58.69 Ni.upf
Sc 44.96 Sc.upf
Rh 102.91 Rh.upf
ATOMIC_POSITIONS angstrom
Ni 4.7767 1.3849 2.4355
Ni 5.9656 3.4443 2.4355
Ni 4.7767 2.7578 0.4939
Ni 3.5877 3.4443 2.4355
Sc 0.0000 0.0000 0.0000
Rh 2.3883 1.3789 0.9750
CELL_PARAMETERS angstrom
4.7767 0.0000 0.0000
2.3883 4.1367 0.0000
2.3883 1.3789 3.9001
! - ΔE_f (eV per atom) = -0.32
! - D(E_F) (states/eV/f.u.) = 10.80
! - SG = F-43m (216)


(6)
! Cs3K4Rb8, relaxed, DFT PBE; values from VASP
&SYSTEM
  ibrav = 0, nat = 30, ntyp = 3
/
ATOMIC_SPECIES
Cs 132.91 Cs.upf
K 39.10 K.upf
Rb 85.47 Rb.upf
ATOMIC_POSITIONS angstrom
Cs 13.0312 9.2145 15.7561
Cs 7.1296 9.2145 19.1634
Cs 11.0640 3.6504 12.3488
Cs 5.1624 3.6504 15.7561
Cs 11.0640 3.6504 19.1634
Cs 7.1296 9.2145 12.3488
K 2.2742 6.4324 11.8171
K 2.2742 6.4324 3.9390
K 0.0000 0.0000 7.8781
K 6.8226 0.0000 11.8171
K 6.8226 0.0000 3.9390
K 9.0968 6.4324 7.8781
K 9.0968 6.4324 15.7561
K 0.0000 0.0000 0.0000
Rb 3.1343 8.5405 15.7562
Rb 4.5484 8.2677 7.8781
Rb 6.1156 4.3244 10.5925
Rb 9.3110 1.5324 7.8781
Rb 12.0781 8.5405 10.5925
Rb 16.0265 11.3324 27.7587
Rb 12.0781 8.5405 20.9198
Rb 2.1671 1.5324 3.7536
Rb 15.0593 4.3244 15.7561
Rb 8.8826 11.3324 23.6342
Rb 16.0265 11.3324 19.5097
Rb 13.6452 4.5972 23.6342
Rb 9.0968 0.1083 15.7562
Rb 9.0968 12.7566 15.7561
Rb 6.1156 4.3244 20.9198
Rb 2.1671 1.5324 12.0026
CELL_PARAMETERS angstrom
13.6452 0.0000 7.8781
4.5484 12.8648 7.8781
0.0000 0.0000 15.7561
! - energy above the most stable polymorph in this dataset (meV/atom) = 0
! - ΔE_f (eV per atom) = 0.02
! - D(E_F) (states/eV/f.u.) = 15.69
! - SG = Fm-3m (225)


(7)
! VTcGeRh, relaxed, DFT PBE; values from VASP
&SYSTEM
  ibrav = 0, nat = 4, ntyp = 4
/
ATOMIC_SPECIES
Ge 72.64 Ge.upf
Rh 102.91 Rh.upf
V 50.94 V.upf
Tc 98.00 Tc.upf
ATOMIC_POSITIONS angstrom
Ge -0.4877 0.6100 -2.5087
Rh 0.0000 0.0000 0.0000
V -1.4631 1.8301 -7.5261
Tc -0.9754 1.2201 -5.0174
CELL_PARAMETERS angstrom
-0.3574 3.2160 -2.8176
1.2960 -0.5454 -4.0537
-2.8895 -0.2305 -3.1635
! - ΔE_f (eV per atom) = -0.36
! - D(E_F) (states/eV/f.u.) = 3.36
! - SG = F-43m (216)


(8)
! ThMgCu, relaxed, DFT PBE; values from VASP
&SYSTEM
  ibrav = 0, nat = 18, ntyp = 3
/
ATOMIC_SPECIES
Mg 24.30 Mg.upf
Cu 63.55 Cu.upf
Th 232.04 Th.upf
ATOMIC_POSITIONS angstrom
Mg 2.2238 3.1616 1.5945
Mg 2.2238 4.0995 10.9574
Mg 2.2238 5.7123 3.1380
Mg 2.2238 1.5487 9.4139
Mg 2.2238 3.1616 4.6815
Mg 2.2238 4.0995 7.8704
Cu 2.2238 6.8686 7.4844
Cu 2.2238 0.3924 1.2085
Cu 0.0000 4.0475 3.1380
Cu 2.2238 0.3924 5.0674
Cu 0.0000 3.2136 9.4139
Cu 2.2238 6.8686 11.3433
Th 0.0000 1.7160 12.0890
Th 0.0000 5.5450 0.4628
Th 0.0000 5.5450 5.8131
Th 0.0000 1.7160 6.7388
Th 0.0000 0.9967 3.1380
Th 0.0000 6.2644 9.4139
CELL_PARAMETERS angstrom
4.4475 0.0000 0.0000
0.0000 7.2610 0.0000
0.0000 0.0000 12.5518
! - ΔE_f (eV per atom) = -0.10
! - D(E_F) (states/eV/f.u.) = 2.44
! - SG = Pmma (51)